Entry from Alexandria: crystalline Sm2YHo4Er2 at its relaxed geometry (PBE-GGA).

extended XYZ file:
```
9
Lattice="-1.9420 -0.2384 3.0037 5.3253 -7.8056 0.6846 4.0437 7.9737 3.2472" Properties=species:S:1:pos:R:3 pbc="T T T"
Ho 0.5389 2.2357 2.6649
Ho 2.9582 -0.2727 1.8910
Sm 3.9850 2.9679 2.8120
Er 6.9385 2.6821 4.6989
Y 0.0000 0.0000 0.0000
Er 0.4885 -2.7524 2.2366
Ho 4.4688 0.2024 5.0445
Sm 3.4420 -3.0382 4.1235
Ho 6.8882 -2.3059 4.2706
```

E_form	7	kJ/mol of formula units

---

Entry from Alexandria: crystalline Ce3B12Ir5 at its relaxed geometry (PBE-GGA).

extended XYZ file:
```
80
Lattice="12.2048 0.0000 0.0000 -4.0683 11.5068 0.0000 -4.0683 -5.7534 9.9651" Properties=species:S:1:pos:R:3 pbc="T T T"
Ir -1.0171 2.8767 2.4913
Ir 4.0683 5.7534 0.0000
Ce 1.0171 5.7534 2.4913
Ir -2.0341 -2.8767 4.9826
B 0.4987 10.2724 0.4903
B 4.6084 1.1003 0.8238
Ir -1.0171 0.7192 6.2282
B -1.3822 -1.0177 5.4729
B 7.4846 1.0177 5.4729
B -2.7275 6.1998 1.8551
Ir -3.0512 6.4726 3.7369
B 3.5695 2.6841 6.2967
Ir 7.1194 -0.7192 6.2282
Ce 9.1536 0.0000 2.4913
B -0.5401 4.6531 9.1413
Ir 5.0853 -3.5959 8.7195
B 3.5695 -4.5190 9.4748
B 1.5354 1.2344 0.4903
B 8.6352 -1.8349 5.8064
Ce -5.0853 5.7534 7.4739
B 5.4504 6.7710 4.4922
B 3.3749 7.1368 1.3141
B -0.6520 9.1350 3.1274
Ce 7.1194 3.5959 1.2456
B 3.5282 4.1403 4.4416
Ce 5.0853 0.7192 3.7369
B 2.5329 4.5190 9.4748
B -2.5742 10.4065 0.8238
B -2.5329 1.8349 5.8064
B -4.5670 7.5883 4.1588
Ir 5.0853 5.0342 3.7369
B 4.7202 4.3992 8.6003
B 1.3822 -4.3992 8.6003
Ir 5.0853 2.8767 7.4739
B -0.6933 0.4464 8.1100
B -0.6520 1.3542 1.3648
B -1.4940 7.3665 4.4416
Ce 7.1194 7.9109 1.2456
Ce 1.0171 -0.7192 3.7369
Ir 1.0171 3.5959 8.7195
B 0.6933 -1.3834 8.6510
B 0.5401 1.6131 5.5236
B 5.4091 -1.8298 9.4242
Ir 2.0341 2.8767 4.9826
B 4.7616 5.3070 1.8551
Ir 6.1024 0.0000 0.0000
B 6.6011 3.9185 4.1588
B -3.4163 4.7357 4.4922
Ir 1.0171 -2.8767 7.4739
Ir 3.0512 2.1575 1.2456
B 5.5623 -1.6131 5.5236
B -2.5742 2.7134 3.6178
Ir -2.0341 5.7534 0.0000
Ce 3.0512 0.0000 7.4739
B 0.6933 1.8298 9.4242
B 5.4091 1.3834 8.6510
B -0.5401 -3.0400 6.3474
B 0.4987 3.0692 3.6684
B 3.3749 3.9236 0.5410
Ir 4.0683 -2.8767 4.9826
B 6.6425 3.0400 6.3474
B 4.7202 -3.3816 6.8377
B 2.6861 2.3718 3.1274
B 1.5354 8.4375 3.6684
Ir -1.0171 9.3492 1.2456
B 2.5329 -2.6842 6.2967
Ce 3.0512 6.4726 6.2282
Ir 0.0000 0.0000 0.0000
Ce -1.0171 5.0342 6.2282
B 2.6861 10.1526 1.3648
B -1.3408 4.3700 1.3141
B 6.6425 -4.6531 9.1413
B 1.3822 3.3816 6.8377
B 4.6084 8.7934 3.6178
B 6.7957 -0.4464 8.1100
Ir 3.0512 8.6301 2.4913
Ir -4.0683 2.8767 4.9826
B -1.3408 7.5832 0.5410
Ce -3.0512 2.1575 8.7195
Ce -3.0512 -2.1575 8.7195
```

E_form	693	kJ/mol of formula units

---

Entry from Alexandria: crystalline AcYGa2Ir2 at its relaxed geometry (PBE-GGA).

extended XYZ file:
```
6
Lattice="4.4270 0.0000 0.0000 -2.2135 3.8339 0.0000 0.0000 0.0000 7.7629" Properties=species:S:1:pos:R:3 pbc="T T T"
Ir 0.0000 2.5559 5.5854
Ac 0.0000 0.0000 0.0000
Y 0.0000 0.0000 3.8815
Ga 0.0000 2.5559 2.2353
Ir 2.2135 1.2780 2.1775
Ga 2.2135 1.2780 5.5277
```

E_form	-438	kJ/mol of formula units

---

Entry from Alexandria: crystalline LaZnGa2Au at its relaxed geometry (PBE-GGA).

extended XYZ file:
```
5
Lattice="4.4205 0.0000 0.0000 0.0000 4.4205 0.0000 -2.2102 -2.2102 5.2827" Properties=species:S:1:pos:R:3 pbc="T T T"
La 0.0000 0.0000 0.0000
Au 2.2102 0.0000 2.6414
Ga 2.2102 2.2102 1.2450
Ga 0.0000 0.0000 4.0377
Zn 0.0000 2.2102 2.6414
```

E_form	-289	kJ/mol of formula units